1.
Compound: HoGeTe4
Source: the Alexandria database
Functional: PBE
Structure: relaxed

a = 6.2983 Å, b = 9.9526 Å, c = 7.3470 Å
α = 90.00°, β = 112.38°, γ = 90.00°
Closest atoms and distances in Å follow each position.
Space group P2_1/m (No. 11)
Unique sites:
1 Ho 0.1073 0.2500 0.1581 (multiplicity 2)  7 Te 3.06-3.22
2 Ge 0.3109 0.7500 0.4501 (multiplicity 2)  4 Te 2.60-2.70
3 Te 0.0306 0.5630 0.2103 (multiplicity 4)  1 Ge 2.70
4 Te 0.3081 0.2500 0.6092 (multiplicity 2)  1 Ge 2.60
5 Te 0.3984 0.7500 0.8307 (multiplicity 2)  1 Ge 2.64

Output
calculated volume	425.84	Å³/cell
VASP energy	-4.0880	eV per atom
size of the total moment	0.00	μB per cell


2.
Compound: WS2BrN
Source: the Alexandria database
Functional: PBE
Structure: relaxed

a = 4.9298 Å, b = 4.9298 Å, c = 3.5754 Å
α = 90.00°, β = 90.00°, γ = 90.00°
Closest atoms and distances in Å follow each position.
Space group P4/mmm (No. 123)
Unique sites:
1 W 0.0000 0.0000 0.0000 (multiplicity 1)  8 S 3.04
2 S 0.0000 0.5000 0.5000 (multiplicity 2)  2 Br 2.46
3 Br 0.5000 0.5000 0.5000 (multiplicity 1)  2 N 1.79
4 N 0.5000 0.5000 0.0000 (multiplicity 1)  2 Br 1.79

Output
calculated volume	86.89	Å³/cell
energy above the most stable polymorph in this dataset	1.781	eV per atom
VASP energy	-4.1071	eV per atom
size of the total moment	2.96	μB per cell


3.
Compound: Zr2InFe
Source: the Alexandria database
Functional: PBE
Structure: relaxed

a = 3.3134 Å, b = 3.3134 Å, c = 25.9104 Å
α = 90.00°, β = 90.00°, γ = 120.00°
Closest atoms and distances in Å follow each position.
Space group R-3m (No. 166, hexagonal axes)
Unique sites:
1 Zr 0.0000 0.0000 0.2342 (multiplicity 6)  3 Fe 2.59
2 In 0.0000 0.0000 0.0000 (multiplicity 3)  6 Zr 3.20, 6 In 3.31
3 Fe 0.0000 0.0000 0.5000 (multiplicity 3)  6 Zr 2.59

Output
calculated volume	246.35	Å³/cell
VASP energy	-7.0962	eV per atom
size of the total moment	1.27	μB per cell


4.
Compound: Ho2Hg2Pb3
Source: the Alexandria database
Functional: PBE
Structure: relaxed

a = 13.5577 Å, b = 3.7365 Å, c = 8.0965 Å
α = 90.00°, β = 108.33°, γ = 90.00°
Closest atoms and distances in Å follow each position.
Space group C2/m (No. 12)
Unique sites:
1 Ho 0.1242 0.0000 0.4323 (multiplicity 4)  4 Hg 3.19-3.22, 4 Pb 3.28-3.39
2 Hg 0.0747 0.5000 0.7203 (multiplicity 4)  4 Ho 3.19-3.22, 5 Pb 3.26-3.52, 1 Hg 3.50
3 Pb 0.0000 0.0000 0.0000 (multiplicity 2)  4 Hg 3.33, 2 Ho 3.37, 4 Pb 3.39
4 Pb 0.2178 0.5000 0.1658 (multiplicity 4)  3 Hg 3.26-3.52, 3 Ho 3.28-3.39, 4 Pb 3.39-3.60

Output
calculated volume	389.34	Å³/cell
VASP energy	-3.2038	eV per atom
size of the total moment	0.00	μB per cell


5.
Compound: CaFePS2
Source: the Alexandria database
Functional: PBE
Structure: relaxed

a = 4.8056 Å, b = 4.8056 Å, c = 4.1632 Å
α = 90.00°, β = 90.00°, γ = 90.00°
Closest atoms and distances in Å follow each position.
Space group P4/mmm (No. 123)
Unique sites:
1 Ca 0.0000 0.0000 0.0000 (multiplicity 1)  8 S 3.18, 4 P 3.40
2 Fe 0.5000 0.5000 0.5000 (multiplicity 1)  2 P 2.08
3 P 0.5000 0.5000 0.0000 (multiplicity 1)  2 Fe 2.08
4 S 0.0000 0.5000 0.5000 (multiplicity 2)  2 Fe 2.40

Output
calculated volume	96.14	Å³/cell
energy above the most stable polymorph in this dataset	0.000	eV per atom
VASP energy	-5.2922	eV per atom
size of the total moment	1.58	μB per cell


6.
Compound: La3RuAu
Source: the Alexandria database
Functional: PBE
Structure: relaxed

a = 16.5169 Å, b = 3.9899 Å, c = 9.0164 Å
α = 90.00°, β = 102.94°, γ = 90.00°
Closest atoms and distances in Å follow each position.
Space group C2 (No. 5)
Unique sites:
1 La 0.0651 0.0000 0.2906 (multiplicity 4)  4 Au 3.10-3.28, 2 Ru 3.17-3.18
2 La 0.1529 0.0012 0.9718 (multiplicity 4)  3 Ru 2.94-3.26, 2 Au 3.27
3 La 0.1970 0.5011 0.6320 (multiplicity 4)  2 Ru 2.78
4 Ru 0.2000 0.5012 0.2158 (multiplicity 4)  4 La 2.78-2.94
5 Au 0.0000 0.4996 0.5000 (multiplicity 2)  6 La 3.10-3.21
6 Au 0.0000 0.5007 0.0000 (multiplicity 2)  8 La 3.27-3.28, 2 Ru 3.44

Output
calculated volume	579.10	Å³/cell
energy above the most stable polymorph in this dataset	0.038	eV per atom
VASP energy	-5.9160	eV per atom
size of the total moment	0.00	μB per cell


7.
Compound: ReSb2Pb
Source: the Alexandria database
Functional: PBE
Structure: relaxed

a = 3.5621 Å, b = 4.9272 Å, c = 5.2807 Å
α = 90.00°, β = 90.00°, γ = 90.00°
Closest atoms and distances in Å follow each position.
Space group Pmmm (No. 47)
Unique sites:
1 Re 0.0000 0.0000 0.0000 (multiplicity 1)  4 Sb 3.04, 4 Pb 3.18
2 Sb 0.0000 0.5000 0.5000 (multiplicity 1)  4 Pb 3.04, 4 Sb 3.18
3 Sb 0.5000 0.5000 0.0000 (multiplicity 1)  4 Re 3.04, 4 Sb 3.18
4 Pb 0.5000 0.0000 0.5000 (multiplicity 1)  4 Sb 3.04, 4 Re 3.18

Output
calculated volume	92.68	Å³/cell
VASP energy	-5.1096	eV per atom
size of the total moment	0.79	μB per cell


8.
Compound: Mg4S2Br
Source: the Alexandria database
Functional: PBE
Structure: relaxed

a = 4.8104 Å, b = 4.8104 Å, c = 18.2227 Å
α = 90.00°, β = 90.00°, γ = 90.00°
Closest atoms and distances in Å follow each position.
Space group I4/mmm (No. 139)
Unique sites:
1 Mg 0.0000 0.0000 0.2184 (multiplicity 4)  1 S 2.46
2 Mg 0.0000 0.5000 0.0000 (multiplicity 4)  2 Br 2.41
3 S 0.0000 0.0000 0.0833 (multiplicity 4)  1 Mg 2.46
4 Br 0.0000 0.0000 0.5000 (multiplicity 2)  4 Mg 2.41

Output
calculated volume	421.66	Å³/cell
VASP energy	-2.8272	eV per atom
size of the total moment	0.00	μB per cell


9.
Compound: AcPm3Cu
Source: the Alexandria database
Functional: PBE
Structure: relaxed

a = 5.5961 Å, b = 5.5961 Å, c = 5.5961 Å
α = 90.00°, β = 90.00°, γ = 90.00°
Closest atoms and distances in Å follow each position.
Space group Pm-3m (No. 221)
Unique sites:
1 Ac 0.0000 0.0000 0.0000 (multiplicity 1)  12 Pm 3.96
2 Pm 0.0000 0.5000 0.5000 (multiplicity 3)  2 Cu 2.80
3 Cu 0.5000 0.5000 0.5000 (multiplicity 1)  6 Pm 2.80

Output
calculated volume	175.25	Å³/cell
VASP energy	-4.4257	eV per atom
size of the total moment	0.00	μB per cell


10.
Compound: HoCd11
Source: the Alexandria database
Functional: PBE
Structure: relaxed

a = 11.9621 Å, b = 11.9621 Å, c = 7.7152 Å
α = 90.00°, β = 90.00°, γ = 90.00°
Closest atoms and distances in Å follow each position.
Space group I4_1/amd (No. 141, origin choice 2)
Unique sites:
1 Ho 0.0000 0.2500 0.3750 (multiplicity 4)  18 Cd 3.58-3.89
2 Cd 0.0000 0.0000 0.0000 (multiplicity 8)  10 Cd 2.91-3.14
3 Cd 0.0000 0.2500 0.8750 (multiplicity 4)  12 Cd 3.14-3.21
4 Cd 0.1201 0.0511 0.6673 (multiplicity 32)  7 Cd 2.86-3.13

Output
calculated volume	1103.98	Å³/cell
VASP energy	-1.2529	eV per atom
size of the total moment	0.00	μB per cell


11.
Compound: Pu2BeInPd6
Source: the Alexandria database
Functional: PBE
Structure: relaxed

a = 5.8994 Å, b = 5.9036 Å, c = 7.5957 Å
α = 67.37°, β = 67.20°, γ = 60.04°
Closest atoms and distances in Å follow each position.
Space group P-1 (No. 2)
Unique sites:
1 Pu 0.2433 0.2417 0.2713 (multiplicity 2)  9 Pd 2.97-3.23
2 Be 0.5000 0.5000 0.5000 (multiplicity 1)  6 Pd 2.16
3 In 0.0000 0.0000 0.0000 (multiplicity 1)  6 Pd 2.71-2.72
4 Pd 0.2119 0.7330 0.3195 (multiplicity 2)  1 Be 2.16
5 Pd 0.2649 0.2670 0.6811 (multiplicity 2)  1 Be 2.16
6 Pd 0.2653 0.7916 0.6783 (multiplicity 2)  1 Be 2.16

Output
calculated volume	205.13	Å³/cell
VASP energy	-7.0065	eV per atom
size of the total moment	10.63	μB per cell


12.
Compound: Ce2Zr3PaN6
Source: the Alexandria database
Functional: PBE
Structure: relaxed

a = 14.8579 Å, b = 3.3731 Å, c = 6.8490 Å
α = 90.00°, β = 104.45°, γ = 90.00°
Closest atoms and distances in Å follow each position.
Space group C2/m (No. 12)
Unique sites:
1 Ce 0.1673 0.0000 0.3360 (multiplicity 4)  6 N 2.48-2.50
2 Zr 0.0000 0.5000 0.5000 (multiplicity 2)  6 N 2.32-2.37
3 Zr 0.1679 0.0000 0.8343 (multiplicity 4)  6 N 2.32-2.35
4 Pa 0.0000 0.5000 0.0000 (multiplicity 2)  6 N 2.43-2.44
5 N 0.0066 0.0000 0.7455 (multiplicity 4)  3 Zr 2.32-2.37, 2 Pa 2.44, 1 Ce 2.50
6 N 0.1610 0.5000 0.5986 (multiplicity 4)  3 Zr 2.32, 3 Ce 2.48
7 N 0.1685 0.5000 0.0664 (multiplicity 4)  3 Zr 2.32-2.35, 1 Pa 2.43, 2 Ce 2.50

Output
calculated volume	332.39	Å³/cell
VASP energy	-9.7351	eV per atom
size of the total moment	0.00	μB per cell